(1)
DFT (meta-GGA SCAN) results for a crystal of MgTcSbI2 relaxed with PBEsol.

extended XYZ file:
```
5
Lattice="5.472 0.000 0.000 0.000 5.472 0.000 0.000 0.000 5.054" Properties=species:S:1:pos:R:3 pbc="T T T"
Mg 0.000 0.000 0.000
Tc 2.736 2.736 2.527
Sb 2.736 2.736 0.000
I 0.000 2.736 2.527
I 2.736 0.000 2.527
```

Computed properties:
Formation energy (no corrections) ... 225.1 kJ/mol of formula units
Uncorrected energy ... -29.689 eV/atom
M_tot ... 1.4 μB per cell


(2)
DFT (meta-GGA SCAN) results for a crystal of Rb2AsC relaxed with PBEsol.

extended XYZ file:
```
8
Lattice="-6.098 6.098 1.999 6.098 -6.098 1.999 6.098 6.098 -1.999" Properties=species:S:1:pos:R:3 pbc="T T T"
Rb 0.309 3.049 0.500
Rb -3.049 5.789 1.499
Rb -0.309 9.147 0.500
Rb 3.049 6.407 1.499
As 6.098 0.000 0.999
As 0.000 0.000 1.999
C 0.000 0.000 0.000
C 0.000 6.098 0.999
```

Computed properties:
DFT formation energy ... 0.58 eV/atom
Uncorrected energy ... -17.358 eV/atom
M_tot ... 0.0 μB per cell


(3)
DFT (meta-GGA SCAN) results for a crystal of NaBi2Pb2 relaxed with PBEsol.

extended XYZ file:
```
10
Lattice="8.842 0.000 0.000 0.000 8.842 0.000 0.000 0.000 4.083" Properties=species:S:1:pos:R:3 pbc="T T T"
Na 0.000 0.000 0.000
Na 4.421 4.421 0.000
Bi 1.300 3.121 0.000
Bi 3.121 7.542 0.000
Bi 5.721 1.300 0.000
Bi 7.542 5.721 0.000
Pb 1.282 5.704 2.042
Pb 3.139 1.282 2.042
Pb 5.704 7.560 2.042
Pb 7.560 3.139 2.042
```

Computed properties:
Offset from the most stable computed form ... 0 meV/atom
DFT formation energy ... -0.07 eV/atom
Uncorrected energy ... -62.658 eV/atom
M_tot ... 0.0 μB per cell


(4)
DFT (meta-GGA SCAN) results for a crystal of FeCu2W relaxed with PBEsol.

extended XYZ file:
```
4
Lattice="2.593 0.000 0.000 0.000 2.593 0.000 0.000 0.000 7.433" Properties=species:S:1:pos:R:3 pbc="T T T"
Fe 0.000 0.000 0.000
Cu 1.296 1.296 1.734
Cu 1.296 1.296 5.699
W 0.000 0.000 3.717
```

Computed properties:
Offset from the most stable computed form ... 0 meV/atom
DFT formation energy ... 0.25 eV/atom
Uncorrected energy ... -29.309 eV/atom
M_tot ... 3.0 μB per cell


(5)
DFT (meta-GGA SCAN) results for a crystal of KCoPH2O5 relaxed with PBEsol.

extended XYZ file:
```
20
Lattice="5.555 0.000 0.000 0.000 8.214 0.000 0.000 0.000 4.705" Properties=species:S:1:pos:R:3 pbc="T T T"
K 0.000 0.385 0.000
K 2.777 7.829 2.352
Co 0.000 3.957 0.608
Co 2.777 4.256 2.960
P 0.000 5.838 2.638
P 2.777 2.376 0.285
H 0.794 2.564 2.626
H 1.983 5.650 0.274
H 3.572 5.650 0.274
H 4.760 2.564 2.626
O 0.000 2.389 2.052
O 0.000 5.619 4.156
O 0.000 7.326 2.313
O 1.236 5.108 1.965
O 1.542 3.106 4.317
O 2.777 0.887 4.665
O 2.777 2.594 1.803
O 2.777 5.825 4.404
O 4.013 3.106 4.317
O 4.319 5.108 1.965
```

Computed properties:
Uncorrected energy ... -9.264 eV/atom
M_tot ... 6.0 μB per cell


(6)
DFT (meta-GGA SCAN) results for a crystal of HfAuN2F relaxed with PBEsol.

extended XYZ file:
```
5
Lattice="4.002 0.000 0.000 0.000 4.002 0.000 0.000 0.000 4.013" Properties=species:S:1:pos:R:3 pbc="T T T"
Hf 0.000 0.000 0.000
Au 2.001 2.001 2.007
N 0.000 2.001 2.007
N 2.001 0.000 2.007
F 2.001 2.001 0.000
```

Computed properties:
Formation energy (no corrections) ... 333.6 kJ/mol of formula units
Uncorrected energy ... -30.099 eV/atom
M_tot ... 0.0 μB per cell


(7)
DFT (meta-GGA SCAN) results for a crystal of AlCo2Pb relaxed with PBEsol.

extended XYZ file:
```
4
Lattice="-1.827 1.827 4.218 1.827 -1.827 4.218 1.827 1.827 -4.218" Properties=species:S:1:pos:R:3 pbc="T T T"
Al 0.000 0.000 0.000
Co 0.000 0.000 4.218
Co 0.000 1.827 2.109
Pb 1.827 0.000 2.109
```

Computed properties:
DFT formation energy ... 0.35 eV/atom
Uncorrected energy ... -29.184 eV/atom
M_tot ... 2.2 μB per cell


(8)
DFT (meta-GGA SCAN) results for a crystal of MnCoSi2 relaxed with PBEsol.

extended XYZ file:
```
8
Lattice="4.445 0.000 0.000 0.000 4.381 0.000 -0.040 0.000 4.450" Properties=species:S:1:pos:R:3 pbc="T T T"
Mn 0.451 0.000 1.651
Mn 3.954 2.191 2.799
Co 1.708 0.983 3.836
Co 2.697 3.173 0.615
Si 0.387 2.277 0.652
Si 1.809 3.082 2.921
Si 2.596 0.891 1.529
Si 4.018 0.087 3.798
```

Computed properties:
Offset from the most stable computed form ... 0 meV/atom
Formation energy (no corrections) ... -182.1 kJ/mol of formula units
Uncorrected energy ... -14.370 eV/atom
M_tot ... 0.0 μB per cell


(9)
DFT (meta-GGA SCAN) results for a crystal of BeHgSbTe2 relaxed with PBEsol.

extended XYZ file:
```
5
Lattice="5.072 0.000 0.000 0.000 5.072 0.000 0.000 0.000 4.780" Properties=species:S:1:pos:R:3 pbc="T T T"
Be 0.000 0.000 0.000
Hg 2.536 2.536 2.390
Sb 0.000 0.000 2.390
Te 0.000 2.536 0.000
Te 2.536 0.000 0.000
```

Computed properties:
Formation energy (no corrections) ... 212.1 kJ/mol of formula units
Uncorrected energy ... -36.417 eV/atom
M_tot ... 0.0 μB per cell


(10)
DFT (meta-GGA SCAN) results for a crystal of Zn2NiMo relaxed with PBEsol.

extended XYZ file:
```
4
Lattice="-1.898 1.898 3.622 1.898 -1.898 3.622 1.898 1.898 -3.622" Properties=species:S:1:pos:R:3 pbc="T T T"
Zn 0.000 0.000 0.000
Zn 0.000 1.898 1.811
Ni 1.898 0.000 1.811
Mo 0.000 0.000 3.622
```

Computed properties:
Offset from the most stable computed form ... 176 meV/atom
DFT formation energy ... 0.15 eV/atom
Uncorrected energy ... -19.372 eV/atom
M_tot ... 0.8 μB per cell


(11)
DFT (meta-GGA SCAN) results for a crystal of CePt4Rh relaxed with PBEsol.

extended XYZ file:
```
6
Lattice="5.272 0.000 0.000 -2.636 4.566 0.000 0.000 0.000 4.361" Properties=species:S:1:pos:R:3 pbc="T T T"
Ce 0.000 0.000 0.000
Pt -1.312 2.286 2.181
Pt 1.312 2.286 2.181
Pt 0.000 4.558 2.181
Pt 2.636 1.522 0.000
Rh 0.000 3.044 0.000
```

Computed properties:
DFT formation energy ... -0.76 eV/atom
Uncorrected energy ... -60.610 eV/atom
M_tot ... 0.4 μB per cell


(12)
DFT (meta-GGA SCAN) results for a crystal of Li3Fe3NiO8 relaxed with PBEsol.

extended XYZ file:
```
15
Lattice="4.850 -2.805 0.000 4.850 2.805 0.000 -3.249 0.000 4.715" Properties=species:S:1:pos:R:3 pbc="T T T"
Li 0.000 0.000 0.000
Li 2.425 1.403 0.000
Li 2.425 -1.403 0.000
Fe -1.625 0.000 2.358
Fe 0.801 1.403 2.358
Fe 0.801 -1.403 2.358
Ni 3.226 0.000 2.358
O 2.406 1.447 3.356
O -0.024 0.000 3.379
O 1.569 0.000 1.311
O 4.045 1.447 1.359
O 2.406 -1.447 3.356
O 4.882 0.000 3.404
O 6.475 0.000 1.336
O 4.045 -1.447 1.359
```

Computed properties:
Offset from the most stable computed form ... 0 meV/atom
Formation energy (no corrections) ... -2549.1 kJ/mol of formula units
Uncorrected energy ... -10.267 eV/atom
M_tot ... 3.0 μB per cell


(13)
DFT (meta-GGA SCAN) results for a crystal of Nd3GaO6 relaxed with PBEsol.

extended XYZ file:
```
20
Lattice="4.585 -5.741 0.000 4.585 5.741 0.000 0.000 0.000 5.558" Properties=species:S:1:pos:R:3 pbc="T T T"
Nd 4.585 4.545 2.779
Nd 2.822 1.221 3.027
Nd 2.822 -1.221 0.248
Nd 6.348 1.221 3.027
Nd 6.348 -1.221 0.248
Nd 4.585 -4.545 0.000
Ga 4.585 2.202 0.438
Ga 4.585 -2.202 3.217
O 3.164 2.993 1.375
O 1.460 0.149 1.524
O 1.460 -0.149 4.303
O 4.585 2.477 4.171
O 6.005 2.993 1.375
O 4.585 0.469 1.177
O 4.585 -0.469 3.956
O 3.164 -2.993 4.154
O 4.585 -2.477 1.392
O 7.710 0.149 1.524
O 7.710 -0.149 4.303
O 6.005 -2.993 4.154
```

Computed properties:
Formation energy (no corrections) ... -3221.4 kJ/mol of formula units
Uncorrected energy ... -21.787 eV/atom
M_tot ... 0.0 μB per cell